LaInSeBr2: PBEsol geometry, meta-GGA SCAN.

a b c (Å): 5.7758 5.7758 5.6910
angles (deg): 90.00 90.00 90.00
Sites, in units of the cell vectors:
La 0.0000 0.0000 0.0000
In 0.5000 0.5000 0.5000
Se 0.0000 0.0000 0.5000
Br 0.0000 0.5000 0.0000
Br 0.5000 0.0000 0.0000

calculated total energy = -142.563 eV for the cell shown
formation energy without anion corrections = -1415 meV/atom